Below is a relaxed Co2MoIr crystal, with properties calculated at the GGA-PBE level.

Values from the calculation:
Density of states at the Fermi level   2.4038 states/eV per atom
Space-group type   Fm-3m, No. 225

Lattice parameters (Å, degrees): 4.193 4.193 4.193 60.00 60.00 60.00
Atoms (fractional coordinates):
Co 0.250 0.250 0.250
Co 0.750 0.750 0.750
Mo 0.000 0.000 0.000
Ir 0.500 0.500 0.500

***

Below is a relaxed CoMo2Ir2 crystal, with properties calculated at the GGA-PBE level.

Values from the calculation:
Density of states at the Fermi level   1.3593 states/eV per atom
Space-group type   P4/mbm, No. 127
Offset from the most stable computed form   55.0 meV/atom

Lattice parameters (Å, degrees): 7.466 7.466 2.794 90.00 90.00 90.00
Atoms (fractional coordinates):
Co 0.000 0.000 0.000
Co 0.500 0.500 0.000
Mo 0.169 0.331 0.500
Mo 0.331 0.831 0.500
Mo 0.669 0.169 0.500
Mo 0.831 0.669 0.500
Ir 0.128 0.628 0.000
Ir 0.372 0.128 0.000
Ir 0.628 0.872 0.000
Ir 0.872 0.372 0.000

***

Below is a relaxed Co2MoIr crystal, with properties calculated at the GGA-PBE level.

Values from the calculation:
Density of states at the Fermi level   1.0633 states/eV per atom
Space-group type   R3m, No. 160

Lattice parameters (Å, degrees): 8.676 8.676 8.676 17.84 17.84 17.84
Atoms (fractional coordinates):
Co 0.000 0.000 0.000
Co 0.259 0.259 0.259
Mo 0.505 0.505 0.505
Ir 0.751 0.751 0.751

***

Below is a relaxed Co2MoIr crystal, with properties calculated at the GGA-PBE level.

Values from the calculation:
Density of states at the Fermi level   1.2094 states/eV per atom
Space-group type   P2/m, No. 10

Lattice parameters (Å, degrees): 4.493 2.686 4.618 90.00 109.48 90.00
Atoms (fractional coordinates):
Co 0.000 0.000 0.000
Co 0.000 0.500 0.500
Mo 0.500 0.000 0.500
Ir 0.500 0.500 0.000

***

Below is a relaxed Co4MoIr crystal, with properties calculated at the GGA-PBE level.

Values from the calculation:
Density of states at the Fermi level   1.8417 states/eV per atom
Space-group type   F-43m, No. 216

Lattice parameters (Å, degrees): 4.686 4.686 4.686 60.00 60.00 60.00
Atoms (fractional coordinates):
Co 0.125 0.125 0.125
Co 0.125 0.125 0.625
Co 0.125 0.625 0.125
Co 0.625 0.125 0.125
Mo 0.500 0.500 0.500
Ir 0.750 0.750 0.750

***

Below is a relaxed Co2MoIr crystal, with properties calculated at the GGA-PBE level.

Values from the calculation:
Density of states at the Fermi level   0.9279 states/eV per atom
Space-group type   Pmm2, No. 25

Lattice parameters (Å, degrees): 2.705 3.637 5.304 90.00 90.00 90.00
Atoms (fractional coordinates):
Co 0.000 0.000 0.000
Co 0.500 0.500 0.207
Mo 0.500 0.500 0.744
Ir 0.000 0.000 0.473

***

Below is a relaxed Co2MoIr crystal, with properties calculated at the GGA-PBE level.

Values from the calculation:
Density of states at the Fermi level   1.1166 states/eV per atom
Space-group type   Cmmm, No. 65

Lattice parameters (Å, degrees): 4.494 4.494 2.670 90.00 90.00 107.91
Atoms (fractional coordinates):
Co 0.000 0.500 0.000
Co 0.500 0.000 0.000
Mo 0.000 0.000 0.500
Ir 0.500 0.500 0.500

***

Below is a relaxed Co2MoIr crystal, with properties calculated at the GGA-PBE level.

Values from the calculation:
Density of states at the Fermi level   0.9045 states/eV per atom
Space-group type   P4/mmm, No. 123

Lattice parameters (Å, degrees): 3.735 3.735 3.659 90.00 90.00 90.00
Atoms (fractional coordinates):
Co 0.000 0.500 0.000
Co 0.500 0.000 0.000
Mo 0.000 0.000 0.500
Ir 0.500 0.500 0.500

***

| no. | energy of formation from the pure elements (eV/atom) | final energy (eV/atom) |
| --- | --- | --- |
| 1 | 0.151 | -8.32 |
| 2 | 0.183 | -9.11 |
| 3 | 0.105 | -8.37 |
| 4 | 0.045 | -8.43 |
| 5 | -0.003 | -8.02 |
| 6 | -0.043 | -8.52 |
| 7 | 0.021 | -8.46 |
| 8 | -0.090 | -8.57 |